Record 1
PrThOs | PBE | optimized geometry

The formation enthalpy at 0 K is -0.09 eV per atom.

It has space group F-43m (No. 216), with a = 7.011 Å, b = 7.011 Å, c = 7.011 Å, α = 90.00°, β = 90.00° and γ = 90.00°. The asymmetric unit holds Pr at (0.000, 0.000, 0.000), Th at (0.000, 0.000, 0.500) and Os at (0.250, 0.250, 0.750).

Record 2
BiSb3Se6 | PBE | optimized geometry

As for the uncorrected formation energy: -0.281 eV/atom.

It has space group P2_1/m (No. 11), with a = 12.003 Å, b = 4.092 Å, c = 12.593 Å, α = 90.00°, β = 106.14° and γ = 90.00°. The asymmetric unit holds Bi at (0.174, 0.250, 0.489), Sb at (0.060, 0.750, 0.832), Sb at (0.353, 0.250, 0.936), Sb at (0.415, 0.750, 0.357), Se at (0.020, 0.750, 0.378), Se at (0.128, 0.250, 0.981), Se at (0.249, 0.750, 0.765), Se at (0.252, 0.250, 0.294), Se at (0.387, 0.750, 0.559) and Se at (0.419, 0.750, 0.097).

Short version: V = 28.7, 29.7 Å³/atom, in the order given.